(1)
Compound: Re3BAu
Source: Alexandria
Functional: meta-GGA SCAN
Structure: PBEsol geometry

Cell lengths 4.100, 4.100, 4.100 Å; angles 90.00, 90.00, 90.00 degrees
Element x y z (fractional)
Re  0.000  0.500  0.000
Re  0.000  0.000  0.500
Re  0.500  0.000  0.000
B  0.000  0.000  0.000
Au  0.500  0.500  0.500

Summary:
The value obtained for the energy of formation from the pure elements is 2.5 eV/f.u. The calculation puts the calculated volume at 13.8 Å³/atom. For the total energy, the calculation gives -57.471 eV/atom. The calculation puts the density of states at the Fermi level at 0.922 states/eV per atom. The crystal system is cubic.

(2)
Compound: Cs2HPb
Source: Alexandria
Functional: meta-GGA SCAN
Structure: PBEsol geometry

Cell lengths 8.788, 8.788, 8.788 Å; angles 148.82, 94.14, 94.14 degrees
Element x y z (fractional)
Pb  0.000  0.000  0.000
Pb  0.500  0.750  0.250
Cs  0.837  0.462  0.125
Cs  0.163  0.288  0.625
Cs  0.663  0.375  0.538
Cs  0.337  0.875  0.712
H  0.000  0.500  0.500
H  0.500  0.250  0.750

Summary:
The calculation puts the calculated volume at 42.3 Å³/atom. For the total energy, the calculation gives -38.703 eV/atom. The calculation puts the density of states at the Fermi level at 0.868 states/eV per atom. The crystal system is tetragonal.

(3)
Compound: Ba3Zn2As4
Source: Alexandria
Functional: meta-GGA SCAN
Structure: PBEsol geometry

Cell lengths 4.443, 7.181, 8.675 Å; angles 112.34, 104.84, 90.00 degrees
Element x y z (fractional)
Zn  0.331  0.039  0.661
Zn  0.669  0.961  0.339
As  0.206  0.162  0.412
As  0.794  0.838  0.588
As  0.489  0.319  0.978
As  0.511  0.681  0.022
Ba  0.145  0.586  0.290
Ba  0.855  0.414  0.710
Ba  0.000  0.000  0.000

Summary:
The value obtained for the energy of formation from the pure elements is -8.7 eV/f.u. The calculation puts the calculated volume at 27.3 Å³/atom. For the total energy, the calculation gives -26.130 eV/atom. The calculation puts the density of states at the Fermi level at 0.094 states/eV per atom. The crystal system is monoclinic.

(4)
Compound: KAsBr2O
Source: Alexandria
Functional: meta-GGA SCAN
Structure: PBEsol geometry

Cell lengths 3.680, 5.973, 5.973 Å; angles 90.00, 90.00, 90.00 degrees
Element x y z (fractional)
O  0.000  0.000  0.000
As  0.500  0.000  0.000
K  0.500  0.500  0.500
Br  0.000  0.000  0.500
Br  0.000  0.500  0.000

Summary:
The calculation puts the calculated volume at 26.3 Å³/atom. For the total energy, the calculation gives -15.282 eV/atom. The formation energy from raw total energies is -548 meV per atom. The calculation puts the density of states at the Fermi level at 0.839 states/eV per atom. The crystal system is tetragonal.

(5)
Compound: Ca2InW
Source: Alexandria
Functional: meta-GGA SCAN
Structure: PBEsol geometry

Cell lengths 3.184, 3.184, 10.676 Å; angles 81.42, 81.42, 60.00 degrees
Element x y z (fractional)
Ca  0.255  0.255  0.236
Ca  0.745  0.745  0.764
W  0.000  0.000  0.000
In  0.500  0.500  0.500

Summary:
The value obtained for the energy of formation from the pure elements is 2.6 eV/f.u. The calculation puts the calculated volume at 23.1 Å³/atom. For the total energy, the calculation gives -29.961 eV/atom. The calculation puts the density of states at the Fermi level at 0.628 states/eV per atom. The crystal system is trigonal.

(6)
Compound: AlCuHg2
Source: Alexandria
Functional: meta-GGA SCAN
Structure: PBEsol geometry

Cell lengths 4.078, 4.078, 5.128 Å; angles 113.43, 113.43, 90.00 degrees
Element x y z (fractional)
Hg  0.000  0.000  0.000
Hg  0.750  0.250  0.500
Cu  0.250  0.750  0.500
Al  0.500  0.500  0.000

Summary:
The value obtained for the energy of formation from the pure elements is 0.8 eV/f.u. The calculation puts the calculated volume at 17.6 Å³/atom. For the total energy, the calculation gives -39.618 eV/atom. The calculation puts the density of states at the Fermi level at 0.305 states/eV per atom. The crystal system is tetragonal.

(7)
Compound: In3PH
Source: Alexandria
Functional: meta-GGA SCAN
Structure: PBEsol geometry

Cell lengths 4.583, 4.583, 4.583 Å; angles 90.00, 90.00, 90.00 degrees
Element x y z (fractional)
P  0.500  0.500  0.500
H  0.000  0.000  0.000
In  0.000  0.500  0.000
In  0.000  0.000  0.500
In  0.500  0.000  0.000

Summary:
The calculation puts the calculated volume at 19.3 Å³/atom. For the total energy, the calculation gives -22.350 eV/atom. The calculation puts the density of states at the Fermi level at 0.254 states/eV per atom. The crystal system is cubic.

(8)
Compound: Na2V2ZnO7
Source: Alexandria
Functional: meta-GGA SCAN
Structure: PBEsol geometry

Cell lengths 5.069, 8.267, 8.267 Å; angles 90.00, 90.00, 90.00 degrees
Element x y z (fractional)
Na  0.492  0.165  0.335
Na  0.508  0.335  0.835
Na  0.508  0.665  0.165
Na  0.492  0.835  0.665
V  0.924  0.145  0.645
V  0.076  0.645  0.855
V  0.076  0.355  0.145
V  0.924  0.855  0.355
Zn  0.000  0.000  0.000
Zn  0.000  0.500  0.500
O  0.750  0.647  0.853
O  0.800  0.000  0.500
O  0.206  0.829  0.905
O  0.206  0.405  0.329
O  0.250  0.147  0.647
O  0.206  0.171  0.095
O  0.250  0.853  0.353
O  0.200  0.500  0.000
O  0.206  0.595  0.671
O  0.794  0.671  0.405
O  0.794  0.905  0.171
O  0.750  0.353  0.147
O  0.794  0.329  0.595
O  0.794  0.095  0.829

Summary:
The calculation puts the calculated volume at 14.4 Å³/atom. For the total energy, the calculation gives -10.725 eV/atom. The formation energy from raw total energies is -2346 meV per atom. The calculation puts the density of states at the Fermi level at 0.000 states/eV per atom. The crystal system is tetragonal.

(9)
Compound: KHfTi2Cd
Source: Alexandria
Functional: meta-GGA SCAN
Structure: PBEsol geometry

Cell lengths 5.196, 5.196, 5.313 Å; angles 90.00, 90.00, 90.00 degrees
Element x y z (fractional)
K  0.500  0.500  0.500
Ti  0.000  0.500  0.000
Ti  0.500  0.000  0.000
Hf  0.000  0.000  0.500
Cd  0.000  0.000  0.000

Summary:
The value obtained for the energy of formation from the pure elements is 6.4 eV/f.u. The calculation puts the calculated volume at 28.7 Å³/atom. For the total energy, the calculation gives -25.409 eV/atom. The calculation puts the density of states at the Fermi level at 1.532 states/eV per atom. The crystal system is tetragonal.

(10)
Compound: SiRuSe2O
Source: Alexandria
Functional: meta-GGA SCAN
Structure: PBEsol geometry

Cell lengths 3.655, 4.491, 4.491 Å; angles 90.00, 90.00, 90.00 degrees
Element x y z (fractional)
Ru  0.500  0.500  0.500
Si  0.500  0.000  0.000
O  0.000  0.000  0.000
Se  0.000  0.000  0.500
Se  0.000  0.500  0.000

Summary:
The calculation puts the calculated volume at 14.7 Å³/atom. For the total energy, the calculation gives -17.560 eV/atom. The formation energy from raw total energies is 686 meV per atom. The calculation puts the density of states at the Fermi level at 0.588 states/eV per atom. The crystal system is tetragonal.

(11)
Compound: K2ZrMo
Source: Alexandria
Functional: meta-GGA SCAN
Structure: PBEsol geometry

Cell lengths 3.179, 4.171, 10.736 Å; angles 90.00, 90.00, 90.00 degrees
Element x y z (fractional)
K  0.000  0.000  0.932
K  0.500  0.500  0.319
Mo  0.000  0.000  0.613
Zr  0.500  0.500  0.636

Summary:
The value obtained for the energy of formation from the pure elements is 3.0 eV/f.u. The calculation puts the calculated volume at 35.6 Å³/atom. For the total energy, the calculation gives -19.817 eV/atom. The calculation puts the density of states at the Fermi level at 0.750 states/eV per atom. The crystal system is orthorhombic. The energy above the lowest structure with this stoichiometry is 0 meV per atom.

(12)
Compound: CsK3Ge
Source: Alexandria
Functional: meta-GGA SCAN
Structure: PBEsol geometry

Cell lengths 6.661, 6.661, 6.661 Å; angles 90.00, 90.00, 90.00 degrees
Element x y z (fractional)
Cs  0.500  0.500  0.500
Ge  0.000  0.000  0.000
K  0.000  0.500  0.000
K  0.000  0.000  0.500
K  0.500  0.000  0.000

Summary:
The value obtained for the energy of formation from the pure elements is 0.4 eV/f.u. The calculation puts the calculated volume at 59.1 Å³/atom. For the total energy, the calculation gives -16.292 eV/atom. The calculation puts the density of states at the Fermi level at 0.575 states/eV per atom. The crystal system is cubic.

(13)
Compound: PtSe2F2
Source: Alexandria
Functional: meta-GGA SCAN
Structure: PBEsol geometry

Cell lengths 3.353, 3.353, 6.543 Å; angles 104.85, 104.85, 90.00 degrees
Element x y z (fractional)
Se  0.387  0.387  0.775
Se  0.613  0.613  0.225
Pt  0.000  0.000  0.000
F  0.250  0.750  0.500
F  0.750  0.250  0.500

Summary:
The calculation puts the calculated volume at 13.7 Å³/atom. For the total energy, the calculation gives -23.819 eV/atom. The formation energy from raw total energies is -333 meV per atom. The calculation puts the density of states at the Fermi level at 0.262 states/eV per atom. The crystal system is tetragonal. The energy above the lowest structure with this stoichiometry is 93 meV per atom.

(14)
Compound: YSiI2O
Source: Alexandria
Functional: meta-GGA SCAN
Structure: PBEsol geometry

Cell lengths 4.091, 6.019, 6.019 Å; angles 90.00, 90.00, 90.00 degrees
Element x y z (fractional)
I  0.000  0.000  0.500
I  0.000  0.500  0.000
Y  0.000  0.000  0.000
Si  0.500  0.500  0.500
O  0.500  0.000  0.000

Summary:
The calculation puts the calculated volume at 29.6 Å³/atom. For the total energy, the calculation gives -24.329 eV/atom. The formation energy from raw total energies is -814 meV per atom. The calculation puts the density of states at the Fermi level at 0.468 states/eV per atom. The crystal system is tetragonal.

(15)
Compound: La2FeIr
Source: Alexandria
Functional: meta-GGA SCAN
Structure: PBEsol geometry

Cell lengths 4.110, 4.244, 5.749 Å; angles 111.71, 90.00, 90.00 degrees
Element x y z (fractional)
Fe  0.000  0.192  0.507
Ir  0.500  0.309  0.745
La  0.000  0.896  0.918
La  0.500  0.603  0.331

Summary:
The value obtained for the energy of formation from the pure elements is -1.5 eV/f.u. The calculation puts the calculated volume at 23.3 Å³/atom. For the total energy, the calculation gives -44.224 eV/atom. The calculation puts the density of states at the Fermi level at 0.827 states/eV per atom. The crystal system is monoclinic.

(16)
Compound: Sr2ZnMo
Source: Alexandria
Functional: meta-GGA SCAN
Structure: PBEsol geometry

Cell lengths 3.374, 5.398, 6.503 Å; angles 114.52, 105.03, 90.00 degrees
Element x y z (fractional)
Mo  0.795  0.295  0.590
Sr  0.018  0.018  0.037
Sr  0.222  0.722  0.444
Zn  0.464  0.464  0.929

Summary:
The value obtained for the energy of formation from the pure elements is 2.4 eV/f.u. The calculation puts the calculated volume at 25.8 Å³/atom. For the total energy, the calculation gives -22.638 eV/atom. The calculation puts the density of states at the Fermi level at 0.757 states/eV per atom. The crystal system is orthorhombic.

(17)
Compound: Rb3UF6
Source: Alexandria
Functional: meta-GGA SCAN
Structure: PBEsol geometry

Cell lengths 7.052, 7.052, 7.052 Å; angles 93.58, 117.95, 117.95 degrees
Element x y z (fractional)
U  0.000  0.000  0.000
Rb  0.500  0.250  0.750
Rb  0.500  0.750  0.250
Rb  0.000  0.500  0.500
F  0.696  0.696  0.000
F  0.696  0.000  0.696
F  0.304  0.000  0.304
F  0.304  0.304  0.000
F  0.000  0.769  0.769
F  0.000  0.231  0.231

Summary:
The calculation puts the calculated volume at 25.5 Å³/atom. For the total energy, the calculation gives -21.686 eV/atom. The formation energy from raw total energies is -2988 meV per atom. The calculation puts the density of states at the Fermi level at 1.082 states/eV per atom. The crystal system is tetragonal.

(18)
Compound: Y2In3
Source: Alexandria
Functional: meta-GGA SCAN
Structure: PBEsol geometry

Cell lengths 6.141, 6.155, 8.261 Å; angles 100.68, 111.82, 60.08 degrees
Element x y z (fractional)
In  0.431  0.128  0.228
In  0.331  0.872  0.772
In  0.453  0.628  0.272
In  0.809  0.372  0.728
In  0.000  0.000  0.000
In  0.250  0.500  0.500
Y  0.855  0.634  0.106
Y  0.383  0.366  0.894
Y  0.999  0.134  0.394
Y  0.739  0.866  0.606

Summary:
The value obtained for the energy of formation from the pure elements is -3.3 eV/f.u. The calculation puts the calculated volume at 25.1 Å³/atom. For the total energy, the calculation gives -31.826 eV/atom. The calculation puts the density of states at the Fermi level at 0.618 states/eV per atom. The crystal system is orthorhombic. The energy above the lowest structure with this stoichiometry is 0 meV per atom.

(19)
Compound: MgGaSbF2
Source: Alexandria
Functional: meta-GGA SCAN
Structure: PBEsol geometry

Cell lengths 4.312, 4.312, 5.707 Å; angles 90.00, 90.00, 90.00 degrees
Element x y z (fractional)
Sb  0.000  0.000  0.000
Mg  0.500  0.500  0.500
Ga  0.000  0.000  0.500
F  0.000  0.500  0.000
F  0.500  0.000  0.000

Summary:
The calculation puts the calculated volume at 21.2 Å³/atom. For the total energy, the calculation gives -14.127 eV/atom. The formation energy from raw total energies is -994 meV per atom. The calculation puts the density of states at the Fermi level at 0.201 states/eV per atom. The crystal system is tetragonal.

(20)
Compound: TlPd2
Source: Alexandria
Functional: meta-GGA SCAN
Structure: PBEsol geometry

Cell lengths 4.203, 5.735, 8.357 Å; angles 90.00, 90.00, 90.00 degrees
Element x y z (fractional)
Tl  0.750  0.169  0.401
Tl  0.250  0.831  0.599
Tl  0.750  0.669  0.099
Tl  0.250  0.331  0.901
Pd  0.750  0.082  0.735
Pd  0.250  0.918  0.265
Pd  0.750  0.582  0.765
Pd  0.250  0.418  0.235
Pd  0.250  0.353  0.574
Pd  0.750  0.647  0.426
Pd  0.250  0.853  0.926
Pd  0.750  0.147  0.074

Summary:
The value obtained for the energy of formation from the pure elements is -0.6 eV/f.u. The calculation puts the calculated volume at 16.8 Å³/atom. For the total energy, the calculation gives -46.167 eV/atom. The calculation puts the density of states at the Fermi level at 0.464 states/eV per atom. The crystal system is orthorhombic.